Compound: BaMoAsO6
Source: Alexandria via LeMat-Bulk
Functional: PBE with a Hubbard U
Structure: optimized geometry

Output
Theoretical density = 4908 kg/m3
Calculated total energy = -6.716 eV per atom
D(E_F) = 0.000 states/eV/atom

a = 5.2388 Å, b = 5.2388 Å, c = 5.7532 Å
α = 90.00°, β = 90.00°, γ = 60.00°
With the nearest neighbours (Å) after each atom.
Positions (direct):
Mo  0.3333  0.3333  0.5000  6 O 2.00
As  0.6666  0.6667  0.5000  6 O 1.88
O  0.4087  0.9828  0.6902  1 As 1.88, 1 Mo 2.00
O  0.6084  0.4088  0.6902  1 As 1.88, 1 Mo 2.00
O  0.4087  0.6084  0.3097  1 As 1.88, 1 Mo 2.00
O  0.9828  0.4088  0.3097  1 As 1.88, 1 Mo 2.00
O  0.6084  0.9828  0.3097  1 As 1.88, 1 Mo 2.00
O  0.9828  0.6084  0.6902  1 As 1.88, 1 Mo 2.00
Ba  0.0000  0.0000  0.0000  6 O 2.75